#w
Entry from the Alexandria database: a geometry-optimized Pu2HgAu4 structure (GGA-PBE).

Results
ρ = 15.00 g cm⁻³

Cell lengths 10.1330, 10.1330, 10.1330 Å; angles 156.64, 156.64, 33.27 degrees
Fractional positions:
Pu 0.1010 0.1010 0.0000
Pu 0.8990 0.8990 0.0000
Hg 0.5000 0.5000 0.0000
Au 0.2500 0.7500 0.5000
Au 0.3537 0.3537 0.0000
Au 0.6463 0.6463 0.0000
Au 0.7500 0.2500 0.5000

***

#x
Entry from the Alexandria database: a geometry-optimized Pu2HgAu4 structure (GGA-PBE).

Results
ρ = 14.82 g cm⁻³

Cell lengths 7.2584, 6.3833, 5.6738 Å; angles 73.76, 57.60, 48.63 degrees
Fractional positions:
Pu 0.1455 0.1455 0.8545
Pu 0.8545 0.8545 0.1455
Hg 0.5000 0.5000 0.5000
Au 0.0000 0.0000 0.5000
Au 0.2500 0.2500 0.2500
Au 0.5000 0.5000 0.0000
Au 0.7500 0.7500 0.7500

***

Referenced to the most stable arrangement, the calculated values in eV/atom are #w 0.000; #x 0.061.

***

#w
Entry from the Alexandria database: a geometry-optimized TbPuHgAu structure (GGA-PBE).

Results
ρ = 13.25 g cm⁻³

Cell lengths 3.6272, 3.6272, 7.6231 Å; angles 90.00, 90.00, 90.00 degrees
Fractional positions:
Tb 0.0000 0.0000 0.0000
Pu 0.0000 0.0000 0.5297
Hg 0.5000 0.5000 0.2569
Au 0.5000 0.5000 0.7848

***

#x
Entry from the Alexandria database: a geometry-optimized TbPuHgAu structure (GGA-PBE).

Results
ρ = 13.20 g cm⁻³

Cell lengths 5.2227, 5.2227, 5.2227 Å; angles 60.00, 60.00, 60.00 degrees
Fractional positions:
Tb 0.0000 0.0000 0.0000
Pu 0.5000 0.5000 0.5000
Hg 0.7500 0.7500 0.7500
Au 0.2500 0.2500 0.2500

***

Referenced to the most stable arrangement, the calculated values in eV/atom are #w 0.000; #x 0.043.

***

#w
Entry from the Alexandria database: a geometry-optimized TmPuHgAu structure (GGA-PBE).

Results
ρ = 13.67 g cm⁻³

Cell lengths 5.1835, 5.1835, 5.1835 Å; angles 60.00, 60.00, 60.00 degrees
Fractional positions:
Tm 0.0000 0.0000 0.0000
Pu 0.5000 0.5000 0.5000
Hg 0.2500 0.2500 0.2500
Au 0.7500 0.7500 0.7500

***

#x
Entry from the Alexandria database: a geometry-optimized TmPuHgAu structure (GGA-PBE).

Results
ρ = 13.82 g cm⁻³

Cell lengths 3.5280, 3.5280, 7.8236 Å; angles 90.00, 90.00, 90.00 degrees
Fractional positions:
Tm 0.0000 0.0000 0.0000
Pu 0.0000 0.0000 0.5314
Hg 0.5000 0.5000 0.2532
Au 0.5000 0.5000 0.7943

***

Referenced to the most stable arrangement, the calculated values in eV/atom are #w 0.056; #x 0.000.

***

#w
Entry from the Alexandria database: a geometry-optimized RbHg2Au2 structure (GGA-PBE).

Results
ρ = 10.14 g cm⁻³

Cell lengths 6.4283, 6.4283, 5.3460 Å; angles 107.46, 107.46, 43.60 degrees
Fractional positions:
Rb 0.0000 0.0000 0.0000
Hg 0.3630 0.3630 0.4372
Hg 0.6370 0.6370 0.5628
Au 0.2594 0.2594 0.8561
Au 0.7406 0.7406 0.1439

***

#x
Entry from the Alexandria database: a geometry-optimized RbHg2Au2 structure (GGA-PBE).

Results
ρ = 10.12 g cm⁻³

Cell lengths 6.6806, 6.6806, 6.6806 Å; angles 135.48, 135.48, 64.78 degrees
Fractional positions:
Rb 0.0000 0.0000 0.0000
Hg 0.2500 0.7500 0.5000
Hg 0.7500 0.2500 0.5000
Au 0.3793 0.3793 0.0000
Au 0.6207 0.6207 0.0000

***

#y
Entry from the Alexandria database: a geometry-optimized RbHg2Au2 structure (GGA-PBE).

Results
ρ = 11.78 g cm⁻³

Cell lengths 8.8791, 8.8791, 3.1482 Å; angles 90.00, 90.00, 90.00 degrees
Fractional positions:
Rb 0.0000 0.0000 0.0000
Rb 0.5000 0.5000 0.0000
Hg 0.1264 0.3736 0.0000
Hg 0.3736 0.8736 0.0000
Hg 0.6264 0.1264 0.0000
Hg 0.8736 0.6264 0.0000
Au 0.1694 0.6694 0.5000
Au 0.3306 0.1694 0.5000
Au 0.6694 0.8306 0.5000
Au 0.8306 0.3306 0.5000

***

Referenced to the most stable arrangement, the calculated values in eV/atom are #w 0.012; #x 0.000; #y 0.132.